# 1
VASP calculation (PBE) on a relaxed FeAsBr2 crystal.

Computed properties:
Volume in Å³ per atom: 20.52
Distance to the lowest polymorph of the same formula in eV/atom: 0.7495
Space group: Fm-3m (225)

a b c (Å): 6.8992 6.8992 6.8992
angles (deg): 90.00 90.00 90.00
Positions (direct):
Fe 0.0000 0.0000 0.0000
Fe 0.0000 0.5000 0.5000
Fe 0.5000 0.0000 0.5000
Fe 0.5000 0.5000 0.0000
As 0.0000 0.0000 0.5000
As 0.0000 0.5000 0.0000
As 0.5000 0.0000 0.0000
As 0.5000 0.5000 0.5000
Br 0.2500 0.2500 0.2500
Br 0.2500 0.2500 0.7500
Br 0.2500 0.7500 0.2500
Br 0.2500 0.7500 0.7500
Br 0.7500 0.2500 0.2500
Br 0.7500 0.2500 0.7500
Br 0.7500 0.7500 0.2500
Br 0.7500 0.7500 0.7500

# 2
VASP calculation (PBE) on a relaxed FeAsBr2 crystal.

Computed properties:
Volume in Å³ per atom: 25.23
Distance to the lowest polymorph of the same formula in eV/atom: 0.4092
Space group: Cmmm (65)

a b c (Å): 3.3370 6.2118 9.7384
angles (deg): 90.00 90.00 90.00
Positions (direct):
Fe 0.0000 0.0000 0.0000
Fe 0.5000 0.5000 0.0000
As 0.0000 0.0000 0.5000
As 0.5000 0.5000 0.5000
Br 0.0000 0.5000 0.1878
Br 0.0000 0.5000 0.8122
Br 0.5000 0.0000 0.1878
Br 0.5000 0.0000 0.8122

# 3
VASP calculation (PBE) on a relaxed FeAsBr2 crystal.

Computed properties:
Volume in Å³ per atom: 24.18
Distance to the lowest polymorph of the same formula in eV/atom: 0.1993
Space group: I-42d (122)

a b c (Å): 9.3107 9.3107 4.4626
angles (deg): 90.00 90.00 90.00
Positions (direct):
Fe 0.0000 0.0000 0.0000
Fe 0.0000 0.5000 0.2500
Fe 0.5000 0.0000 0.7500
Fe 0.5000 0.5000 0.5000
As 0.0000 0.0000 0.5000
As 0.0000 0.5000 0.7500
As 0.5000 0.0000 0.2500
As 0.5000 0.5000 0.0000
Br 0.0897 0.7500 0.1250
Br 0.2500 0.0897 0.8750
Br 0.2500 0.4103 0.3750
Br 0.4103 0.7500 0.6250
Br 0.5897 0.2500 0.6250
Br 0.7500 0.5897 0.3750
Br 0.7500 0.9103 0.8750
Br 0.9103 0.2500 0.1250

What are the energy relative to the elements, uncorrected values for these records? In order: 0.704; 0.363; 0.154 eV per atom.